Entry 1:
Entry from the Alexandria database: ReP2Se after structural relaxation (PBE).

Uncorrected formation energy: 0.265 eV per atom
Symmetry: No. 44
Theoretical density: 7.79 g/cm³
Spin magnetization: 0.00 μB/cell
Crystal system: orthorhombic

abc: 7.902 7.902 7.902
angles: 158.38 157.44 31.45
Positions (direct):
P1 0.973 0.973 0.000
P2 0.672 0.172 0.500
Re1 0.550 0.550 0.000
Se1 0.304 0.804 0.500

---

Entry 2:
Entry from the Alexandria database: ScSbP after structural relaxation (PBE).

Uncorrected formation energy: -0.303 eV per atom
Symmetry: No. 156
Theoretical density: 4.95 g/cm³
Spin magnetization: 0.00 μB/cell
Crystal system: trigonal
E above lowest polymorph: 393 meV/atom

abc: 3.612 3.612 5.864
angles: 90.00 90.00 120.00
Positions (direct):
Sc1 0.333 0.667 0.710
P1 0.000 0.000 0.977
Sb1 0.667 0.333 0.313